(1)
This record from Alexandria via LeMat-Bulk describes an optimized crystal structure of YCo. The functional is PBE.

Values from the calculation:
Calculated volume   254 Å³ per cell
N(E_F)   1.037 states/eV/atom
Symmetry   No. 194

abc: 8.208 8.208 4.356
angles: 90.00 90.00 120.00
Fractional positions:
Y  0.192  0.385  0.250
Y  0.192  0.808  0.250
Y  0.385  0.192  0.750
Y  0.615  0.808  0.250
Y  0.808  0.192  0.750
Y  0.808  0.615  0.750
Co  0.139  0.570  0.750
Co  0.430  0.570  0.750
Co  0.430  0.861  0.750
Co  0.570  0.139  0.250
Co  0.570  0.430  0.250
Co  0.861  0.430  0.250

(2)
This record from Alexandria via LeMat-Bulk describes an optimized crystal structure of Y2Co7. The functional is PBE.

Values from the calculation:
Calculated volume   256 Å³ per cell
N(E_F)   1.783 states/eV/atom
Symmetry   No. 166

abc: 12.496 12.496 12.496
angles: 22.73 22.73 22.73
Fractional positions:
Y  0.052  0.052  0.052
Y  0.147  0.147  0.147
Y  0.853  0.853  0.853
Y  0.948  0.948  0.948
Co  0.000  0.500  0.500
Co  0.110  0.608  0.608
Co  0.280  0.280  0.280
Co  0.387  0.387  0.387
Co  0.392  0.392  0.890
Co  0.392  0.890  0.392
Co  0.500  0.000  0.500
Co  0.500  0.500  0.000
Co  0.500  0.500  0.500
Co  0.608  0.110  0.608
Co  0.608  0.608  0.110
Co  0.613  0.613  0.613
Co  0.720  0.720  0.720
Co  0.890  0.392  0.392

(3)
This record from Alexandria via LeMat-Bulk describes an optimized crystal structure of YCo. The functional is PBE.

Values from the calculation:
Calculated volume   80 Å³ per cell
N(E_F)   1.226 states/eV/atom
Symmetry   No. 129

abc: 3.740 3.740 5.742
angles: 90.00 90.00 90.00
Fractional positions:
Y  0.250  0.250  0.202
Y  0.750  0.750  0.798
Co  0.250  0.250  0.670
Co  0.750  0.750  0.330

(4)
This record from Alexandria via LeMat-Bulk describes an optimized crystal structure of YCo. The functional is PBE.

Values from the calculation:
Calculated volume   41 Å³ per cell
N(E_F)   1.170 states/eV/atom
Symmetry   No. 166

abc: 4.245 4.245 4.245
angles: 49.78 49.78 49.78
Fractional positions:
Y  0.000  0.000  0.000
Co  0.500  0.500  0.500

(5)
This record from Alexandria via LeMat-Bulk describes an optimized crystal structure of YCo. The functional is PBE.

Values from the calculation:
Calculated volume   127 Å³ per cell
N(E_F)   1.255 states/eV/atom
Symmetry   No. 8

abc: 5.596 5.596 6.836
angles: 100.13 100.13 37.16
Fractional positions:
Y  0.000  0.000  0.000
Y  0.067  0.067  0.563
Y  0.773  0.773  0.303
Co  0.261  0.261  0.975
Co  0.359  0.359  0.659
Co  0.752  0.752  0.762

(6)
This record from Alexandria via LeMat-Bulk describes an optimized crystal structure of YCo. The functional is PBE.

Values from the calculation:
Calculated volume   173 Å³ per cell
N(E_F)   1.321 states/eV/atom
Symmetry   No. 87

abc: 7.062 7.062 7.062
angles: 94.02 94.02 149.30
Fractional positions:
Y  0.112  0.784  0.896
Y  0.216  0.112  0.328
Y  0.784  0.888  0.672
Y  0.888  0.216  0.104
Co  0.113  0.464  0.578
Co  0.464  0.887  0.351
Co  0.536  0.113  0.649
Co  0.887  0.536  0.422

(7)
This record from Alexandria via LeMat-Bulk describes an optimized crystal structure of YCo. The functional is PBE.

Values from the calculation:
Calculated volume   155 Å³ per cell
N(E_F)   0.367 states/eV/atom
Symmetry   No. 198

abc: 5.371 5.371 5.371
angles: 90.00 90.00 90.00
Fractional positions:
Y  0.072  0.072  0.072
Y  0.428  0.928  0.572
Y  0.572  0.428  0.928
Y  0.928  0.572  0.428
Co  0.086  0.586  0.914
Co  0.414  0.414  0.414
Co  0.586  0.914  0.086
Co  0.914  0.086  0.586

(8)
This record from Alexandria via LeMat-Bulk describes an optimized crystal structure of YCo. The functional is PBE.

Values from the calculation:
Calculated volume   130 Å³ per cell
N(E_F)   0.988 states/eV/atom
Symmetry   No. 8

abc: 5.500 5.500 7.510
angles: 117.17 117.17 40.92
Fractional positions:
Y  0.000  0.000  0.000
Y  0.634  0.634  0.720
Y  0.811  0.811  0.400
Co  0.101  0.101  0.420
Co  0.342  0.342  0.702
Co  0.484  0.484  0.282

(9)
This record from Alexandria via LeMat-Bulk describes an optimized crystal structure of YCo2. The functional is PBE.

Values from the calculation:
Calculated volume   54 Å³ per cell
N(E_F)   1.038 states/eV/atom
Symmetry   No. 123

abc: 3.402 3.402 4.636
angles: 90.00 90.00 90.00
Fractional positions:
Y  0.000  0.000  0.000
Co  0.000  0.500  0.500
Co  0.500  0.000  0.500

(10)
This record from Alexandria via LeMat-Bulk describes an optimized crystal structure of YCo2. The functional is PBE.

Values from the calculation:
Calculated volume   57 Å³ per cell
N(E_F)   2.796 states/eV/atom
Symmetry   No. 225

abc: 4.322 4.322 4.322
angles: 60.00 60.00 60.00
Fractional positions:
Y  0.000  0.000  0.000
Co  0.250  0.250  0.250
Co  0.750  0.750  0.750

(11)
This record from Alexandria via LeMat-Bulk describes an optimized crystal structure of YCo2. The functional is PBE.

Values from the calculation:
Calculated volume   162 Å³ per cell
N(E_F)   1.329 states/eV/atom
Symmetry   No. 189

abc: 6.304 6.304 4.697
angles: 90.00 90.00 120.00
Fractional positions:
Y  0.000  0.000  0.000
Y  0.333  0.667  0.500
Y  0.667  0.333  0.500
Co  0.000  0.212  0.500
Co  0.000  0.481  0.000
Co  0.212  0.000  0.500
Co  0.481  0.000  0.000
Co  0.519  0.519  0.000
Co  0.788  0.788  0.500

(12)
This record from Alexandria via LeMat-Bulk describes an optimized crystal structure of Y5Co3. The functional is PBE.

Values from the calculation:
Calculated volume   178 Å³ per cell
N(E_F)   0.871 states/eV/atom
Symmetry   No. 65
E above lowest polymorph   1.68 eV per formula unit

abc: 6.458 6.458 4.507
angles: 90.00 90.00 108.55
Fractional positions:
Y  0.000  0.000  0.000
Y  0.000  0.500  0.000
Y  0.294  0.294  0.500
Y  0.500  0.000  0.000
Y  0.706  0.706  0.500
Co  0.183  0.817  0.500
Co  0.500  0.500  0.000
Co  0.817  0.183  0.500

(13)
This record from Alexandria via LeMat-Bulk describes an optimized crystal structure of YCo2. The functional is PBE.

Values from the calculation:
Calculated volume   103 Å³ per cell
N(E_F)   0.874 states/eV/atom
Symmetry   No. 12

abc: 5.475 5.475 5.477
angles: 108.46 108.46 42.06
Fractional positions:
Y  0.110  0.110  0.304
Y  0.890  0.890  0.696
Co  0.211  0.211  0.876
Co  0.403  0.403  0.305
Co  0.597  0.597  0.695
Co  0.789  0.789  0.124

Computed energy (eV/atom) in order:
-6.86 -7.07 -6.59 -6.55 -6.73 -6.58 -6.69 -6.84 -6.71 -5.94 -6.47 -6.64 -7.01
Computed total magnetization (μB per formula unit) in order:
0.6 0.9 0.1 0.5 0.8 0.1 0.0 0.5 2.5 1.4 2.4 0.0 1.8